Computed, not measured: a crystal of Mg4TaCr relaxed with PBEsol at the meta-GGA SCAN level of DFT.

Cell lengths 5.4287, 5.4287, 5.4287 Å; angles 60.00, 60.00, 60.00 degrees
Closest atoms and distances in Å follow each position.
Fractional positions:
Cr  0.0000  0.0000  0.0000  12 Mg 3.18, 4 Ta 3.32
Mg  0.3754  0.3754  0.3754  6 Mg 2.71-2.72
Mg  0.3754  0.3754  0.8739  6 Mg 2.71-2.72
Mg  0.8739  0.3754  0.3754  6 Mg 2.71-2.72
Mg  0.3754  0.8739  0.3754  6 Mg 2.71-2.72
Ta  0.7500  0.7500  0.7500  12 Mg 3.18, 4 Cr 3.32

Results
total moment = 1.04 μB/f.u.
D(E_F) = 0.52 states/eV per atom
ΔE_f = 306.2 kJ/mol of formula units
total energy = -101.689 eV/f.u.